Entry 1:
Entry from Alexandria via LeMat-Bulk: crystalline CaHfSb2 at its relaxed geometry (PBE).

Geometry as CIF:
```
data_CaHfSb2
_space_group_name_H-M_alt 'P 1'
_space_group_IT_number 1
_space_group_name_Hall 'P 1'
_cell_length_a 4.2090
_cell_length_b 4.2090
_cell_length_c 22.0028
_cell_angle_alpha 90.00
_cell_angle_beta 90.00
_cell_angle_gamma 120.00
loop_
_atom_site_label
_atom_site_fract_x
_atom_site_fract_y
_atom_site_fract_z
Ca1 0.0000 0.0000 0.0000
Ca2 0.3333 0.6667 0.6667
Ca3 0.6667 0.3333 0.3333
Hf1 0.0000 0.0000 0.5000
Hf2 0.3333 0.6667 0.1667
Hf3 0.6667 0.3333 0.8333
Sb1 0.0000 0.0000 0.2416
Sb2 0.0000 0.0000 0.7584
Sb3 0.3333 0.6667 0.4250
Sb4 0.3333 0.6667 0.9083
Sb5 0.6667 0.3333 0.0917
Sb6 0.6667 0.3333 0.5750
```

Computed properties:
Energy relative to the elements, uncorrected = -729 meV/atom
Crystal system = trigonal
ρ = 6.82 g cm⁻³
SG = No. 166
ΔE to the lowest computed polymorph = 0 meV/atom

---

Entry 2:
Entry from Alexandria via LeMat-Bulk: crystalline SrAcRhPb at its relaxed geometry (PBE).

Geometry as CIF:
```
data_SrAcRhPb
_space_group_name_H-M_alt 'P 1'
_space_group_IT_number 1
_space_group_name_Hall 'P 1'
_cell_length_a 7.8387
_cell_length_b 7.8387
_cell_length_c 7.8387
_cell_angle_alpha 90.00
_cell_angle_beta 90.00
_cell_angle_gamma 90.00
loop_
_atom_site_label
_atom_site_fract_x
_atom_site_fract_y
_atom_site_fract_z
Sr1 0.0000 0.0000 0.0000
Sr2 0.0000 0.5000 0.5000
Sr3 0.5000 0.0000 0.5000
Sr4 0.5000 0.5000 0.0000
Ac1 0.0000 0.0000 0.5000
Ac2 0.0000 0.5000 0.0000
Ac3 0.5000 0.0000 0.0000
Ac4 0.5000 0.5000 0.5000
Rh1 0.2500 0.2500 0.2500
Rh2 0.2500 0.7500 0.7500
Rh3 0.7500 0.2500 0.7500
Rh4 0.7500 0.7500 0.2500
Pb1 0.2500 0.2500 0.7500
Pb2 0.2500 0.7500 0.2500
Pb3 0.7500 0.2500 0.2500
Pb4 0.7500 0.7500 0.7500
```

Computed properties:
Crystal system = cubic
ρ = 8.62 g cm⁻³
SG = No. 216
ΔE to the lowest computed polymorph = 185 meV/atom
DFT formation energy = -0.294 eV per atom

---

Entry 3:
Entry from Alexandria via LeMat-Bulk: crystalline BeSb2As at its relaxed geometry (PBE).

Geometry as CIF:
```
data_BeSb2As
_space_group_name_H-M_alt 'P 1'
_space_group_IT_number 1
_space_group_name_Hall 'P 1'
_cell_length_a 3.9183
_cell_length_b 5.5207
_cell_length_c 8.0153
_cell_angle_alpha 90.00
_cell_angle_beta 90.00
_cell_angle_gamma 90.00
loop_
_atom_site_label
_atom_site_fract_x
_atom_site_fract_y
_atom_site_fract_z
Be1 0.0000 0.0000 0.0000
Be2 0.5000 0.5000 0.5000
Sb1 0.0000 0.5000 0.2915
Sb2 0.0000 0.5000 0.7085
Sb3 0.5000 0.0000 0.2085
Sb4 0.5000 0.0000 0.7915
As1 0.0000 0.0000 0.5000
As2 0.5000 0.5000 0.0000
```

Computed properties:
Energy relative to the elements, uncorrected = 491 meV/atom
Crystal system = orthorhombic
ρ = 6.27 g cm⁻³
SG = No. 71
ΔE to the lowest computed polymorph = 334 meV/atom

---

Entry 4:
Entry from Alexandria via LeMat-Bulk: crystalline AgB2PdAu at its relaxed geometry (PBE).

Geometry as CIF:
```
data_AgB2PdAu
_space_group_name_H-M_alt 'P 1'
_space_group_IT_number 1
_space_group_name_Hall 'P 1'
_cell_length_a 4.3294
_cell_length_b 4.4992
_cell_length_c 4.3303
_cell_angle_alpha 90.00
_cell_angle_beta 106.08
_cell_angle_gamma 90.00
loop_
_atom_site_label
_atom_site_fract_x
_atom_site_fract_y
_atom_site_fract_z
Ag1 0.0000 0.0000 0.0000
B1 0.2021 0.5000 0.1187
B2 0.8729 0.5000 0.7897
Pd1 0.7300 0.5000 0.2615
Au1 0.3433 0.5000 0.6483
```

Computed properties:
Crystal system = monoclinic
ρ = 8.87 g cm⁻³
SG = No. 6
ΔE to the lowest computed polymorph = 55 meV/atom
DFT formation energy = 0.240 eV per atom

---

Entry 5:
Entry from Alexandria via LeMat-Bulk: crystalline SrTiTe2I at its relaxed geometry (PBE).

Geometry as CIF:
```
data_SrTiTe2I
_space_group_name_H-M_alt 'P 1'
_space_group_IT_number 1
_space_group_name_Hall 'P 1'
_cell_length_a 6.1297
_cell_length_b 6.1297
_cell_length_c 6.0350
_cell_angle_alpha 90.00
_cell_angle_beta 90.00
_cell_angle_gamma 90.00
loop_
_atom_site_label
_atom_site_fract_x
_atom_site_fract_y
_atom_site_fract_z
Sr1 0.0000 0.0000 0.0000
Ti1 0.5000 0.5000 0.5000
Te1 0.0000 0.5000 0.0000
Te2 0.5000 0.0000 0.0000
I1 0.0000 0.0000 0.5000
```

Computed properties:
Energy relative to the elements, uncorrected = 410 meV/atom
Crystal system = tetragonal
ρ = 3.79 g cm⁻³
SG = No. 123
ΔE to the lowest computed polymorph = 1215 meV/atom

---

Entry 6:
Entry from Alexandria via LeMat-Bulk: crystalline MgCoCuNi at its relaxed geometry (PBE).

Geometry as CIF:
```
data_MgCoCuNi
_space_group_name_H-M_alt 'P 1'
_space_group_IT_number 1
_space_group_name_Hall 'P 1'
_cell_length_a 5.8711
_cell_length_b 5.8711
_cell_length_c 5.8711
_cell_angle_alpha 90.00
_cell_angle_beta 90.00
_cell_angle_gamma 90.00
loop_
_atom_site_label
_atom_site_fract_x
_atom_site_fract_y
_atom_site_fract_z
Mg1 0.0000 0.0000 0.0000
Mg2 0.0000 0.5000 0.5000
Mg3 0.5000 0.0000 0.5000
Mg4 0.5000 0.5000 0.0000
Co1 0.0000 0.0000 0.5000
Co2 0.0000 0.5000 0.0000
Co3 0.5000 0.0000 0.0000
Co4 0.5000 0.5000 0.5000
Cu1 0.2500 0.2500 0.7500
Cu2 0.2500 0.7500 0.2500
Cu3 0.7500 0.2500 0.2500
Cu4 0.7500 0.7500 0.7500
Ni1 0.2500 0.2500 0.2500
Ni2 0.2500 0.7500 0.7500
Ni3 0.7500 0.2500 0.7500
Ni4 0.7500 0.7500 0.2500
```

Computed properties:
Crystal system = cubic
ρ = 6.74 g cm⁻³
SG = No. 216
DFT formation energy = 0.093 eV per atom

---

Entry 7:
Entry from Alexandria via LeMat-Bulk: crystalline Li3LaCd3 at its relaxed geometry (PBE).

Geometry as CIF:
```
data_Li3LaCd3
_space_group_name_H-M_alt 'P 1'
_space_group_IT_number 1
_space_group_name_Hall 'P 1'
_cell_length_a 7.0478
_cell_length_b 7.0478
_cell_length_c 7.0478
_cell_angle_alpha 90.00
_cell_angle_beta 90.00
_cell_angle_gamma 90.00
loop_
_atom_site_label
_atom_site_fract_x
_atom_site_fract_y
_atom_site_fract_z
Li1 0.0000 0.2500 0.5000
Li2 0.0000 0.7500 0.5000
Li3 0.2500 0.5000 0.0000
Li4 0.5000 0.0000 0.2500
Li5 0.5000 0.0000 0.7500
Li6 0.7500 0.5000 0.0000
La1 0.0000 0.0000 0.0000
La2 0.5000 0.5000 0.5000
Cd1 0.0000 0.5000 0.2500
Cd2 0.0000 0.5000 0.7500
Cd3 0.2500 0.0000 0.5000
Cd4 0.5000 0.2500 0.0000
Cd5 0.5000 0.7500 0.0000
Cd6 0.7500 0.0000 0.5000
```

Computed properties:
Crystal system = cubic
ρ = 4.71 g cm⁻³
SG = No. 223
DFT formation energy = 0.097 eV per atom

---

Entry 8:
Entry from Alexandria via LeMat-Bulk: crystalline Ag2HgI2 at its relaxed geometry (PBE).

Geometry as CIF:
```
data_Ag2HgI2
_space_group_name_H-M_alt 'P 1'
_space_group_IT_number 1
_space_group_name_Hall 'P 1'
_cell_length_a 8.3462
_cell_length_b 8.3462
_cell_length_c 4.0952
_cell_angle_alpha 90.00
_cell_angle_beta 90.00
_cell_angle_gamma 90.00
loop_
_atom_site_label
_atom_site_fract_x
_atom_site_fract_y
_atom_site_fract_z
Ag1 0.1300 0.3700 0.0000
Ag2 0.3700 0.8700 0.0000
Ag3 0.6300 0.1300 0.0000
Ag4 0.8700 0.6300 0.0000
Hg1 0.0000 0.0000 0.0000
Hg2 0.5000 0.5000 0.0000
I1 0.1655 0.6655 0.5000
I2 0.3345 0.1655 0.5000
I3 0.6655 0.8345 0.5000
I4 0.8345 0.3345 0.5000
```

Computed properties:
Energy relative to the elements, uncorrected = -8 meV/atom
Crystal system = tetragonal
ρ = 7.80 g cm⁻³
SG = No. 127
ΔE to the lowest computed polymorph = 176 meV/atom